A relaxed ZrTaAs2 crystal, computed with GGA-PBE.

a = 3.269 Å, b = 3.269 Å, c = 6.663 Å
α = 90.00°, β = 90.00°, γ = 90.00°
Atoms (fractional coordinates):
1 Zr 0.000 0.000 0.000
2 Ta 0.000 0.000 0.500
3 As 0.500 0.500 0.267
4 As 0.500 0.500 0.733

Properties
The calculation puts the density of states at the Fermi level at 0.536 states/eV per atom. As for the energy above the most stable polymorph in this dataset: 124.2 meV per atom. As for the formation enthalpy at 0 K: -555 meV per atom. As for the space group: P4/mmm. As for the total magnetization: 0.0 μB per cell.

---

A relaxed ZrTaAs2 crystal, computed with GGA-PBE.

a = 3.318 Å, b = 3.318 Å, c = 25.269 Å
α = 90.00°, β = 90.00°, γ = 120.00°
Atoms (fractional coordinates):
1 Zr 0.000 0.000 0.000
2 Zr 0.333 0.667 0.667
3 Zr 0.667 0.333 0.333
4 Ta 0.000 0.000 0.243
5 Ta 0.333 0.667 0.910
6 Ta 0.667 0.333 0.577
7 As 0.000 0.000 0.507
8 As 0.000 0.000 0.750
9 As 0.333 0.667 0.174
10 As 0.333 0.667 0.417
11 As 0.667 0.333 0.083
12 As 0.667 0.333 0.841

Properties
The calculation puts the density of states at the Fermi level at 0.492 states/eV per atom. As for the energy above the most stable polymorph in this dataset: 594.2 meV per atom. As for the formation enthalpy at 0 K: -85 meV per atom. As for the space group: R3m. As for the total magnetization: 0.0 μB per cell.

---

A relaxed ZrTaAs crystal, computed with GGA-PBE.

a = 3.462 Å, b = 3.462 Å, c = 9.422 Å
α = 90.00°, β = 90.00°, γ = 90.00°
Atoms (fractional coordinates):
1 Zr 0.000 0.000 0.000
2 Zr 0.500 0.500 0.500
3 Ta 0.000 0.000 0.312
4 Ta 0.500 0.500 0.812
5 As 0.000 0.000 0.679
6 As 0.500 0.500 0.179

Properties
The calculation puts the density of states at the Fermi level at 0.826 states/eV per atom. As for the formation enthalpy at 0 K: -350 meV per atom. As for the space group: I4mm. As for the total magnetization: 0.0 μB per cell.